Entry A
First-principles (GGA-PBE) data for a relaxed LaCrAs2Br crystal, as listed in Alexandria.

Summary:
- magnetization (μB/f.u.) = 3.78
- crystal system = tetragonal
- space-group type = P4/mmm

abc: 5.7601 5.7601 5.7153
angles: 90.00 90.00 90.00
Closest atoms and distances in Å follow each position.
Atoms (fractional coordinates):
La (0.0000, 0.0000, 0.0000)  2 Br 2.86, 4 As 2.88
Cr (0.5000, 0.5000, 0.5000)  8 As 4.06, 4 Br 4.07
As (0.0000, 0.5000, 0.0000)  2 La 2.88
As (0.5000, 0.0000, 0.0000)  2 La 2.88
Br (0.0000, 0.0000, 0.5000)  2 La 2.86

Entry B
First-principles (GGA-PBE) data for a relaxed LaCrAs2Br crystal, as listed in Alexandria.

Summary:
- magnetization (μB/f.u.) = 2.75
- crystal system = tetragonal
- space-group type = P4/mmm

abc: 4.8132 4.8132 5.1117
angles: 90.00 90.00 90.00
Closest atoms and distances in Å follow each position.
Atoms (fractional coordinates):
La (0.0000, 0.0000, 0.0000)  4 Br 3.40, 8 As 3.51
Cr (0.5000, 0.5000, 0.5000)  4 As 2.41, 2 Br 2.56
As (0.0000, 0.5000, 0.5000)  2 Cr 2.41
As (0.5000, 0.0000, 0.5000)  2 Cr 2.41
Br (0.5000, 0.5000, 0.0000)  2 Cr 2.56

Most stable one: entry B, least stable one: entry A.

Entry A
First-principles (GGA-PBE) data for a relaxed NbCrAs2Br crystal, as listed in Alexandria.

Summary:
- magnetization (μB/f.u.) = 4.92
- crystal system = tetragonal
- space-group type = P4/mmm

abc: 4.6759 4.6759 5.0433
angles: 90.00 90.00 90.00
Closest atoms and distances in Å follow each position.
Atoms (fractional coordinates):
Nb (0.0000, 0.0000, 0.0000)  4 Br 3.31, 8 As 3.44
Cr (0.5000, 0.5000, 0.5000)  4 As 2.34, 2 Br 2.52
As (0.0000, 0.5000, 0.5000)  2 Cr 2.34
As (0.5000, 0.0000, 0.5000)  2 Cr 2.34
Br (0.5000, 0.5000, 0.0000)  2 Cr 2.52

Entry B
First-principles (GGA-PBE) data for a relaxed NbCrAs2Br crystal, as listed in Alexandria.

Summary:
- magnetization (μB/f.u.) = 4.69
- crystal system = tetragonal
- space-group type = P4/mmm

abc: 5.0036 5.0036 5.2644
angles: 90.00 90.00 90.00
Closest atoms and distances in Å follow each position.
Atoms (fractional coordinates):
Nb (0.0000, 0.0000, 0.0000)  4 As 2.50, 2 Br 2.63
Cr (0.5000, 0.5000, 0.5000)  4 Br 3.54, 8 As 3.63
As (0.0000, 0.5000, 0.0000)  2 Nb 2.50
As (0.5000, 0.0000, 0.0000)  2 Nb 2.50
Br (0.0000, 0.0000, 0.5000)  2 Nb 2.63

Most stable one: entry B, least stable one: entry A.

Entry A
First-principles (GGA-PBE) data for a relaxed CrNiAs2Br crystal, as listed in Alexandria.

Summary:
- magnetization (μB/f.u.) = 2.45
- crystal system = tetragonal
- space-group type = P4/mmm

abc: 4.5847 4.5847 5.2467
angles: 90.00 90.00 90.00
Closest atoms and distances in Å follow each position.
Atoms (fractional coordinates):
Cr (0.0000, 0.0000, 0.0000)  4 As 2.29
Ni (0.5000, 0.5000, 0.5000)  4 Br 3.24, 8 As 3.48
As (0.0000, 0.5000, 0.0000)  2 Cr 2.29
As (0.5000, 0.0000, 0.0000)  2 Cr 2.29
Br (0.0000, 0.0000, 0.5000)  2 Cr 2.62

Entry B
First-principles (GGA-PBE) data for a relaxed CrNiAs2Br crystal, as listed in Alexandria.

Summary:
- magnetization (μB/f.u.) = 0.58
- crystal system = tetragonal
- space-group type = P4/mmm

abc: 4.5686 4.5686 4.8754
angles: 90.00 90.00 90.00
Closest atoms and distances in Å follow each position.
Atoms (fractional coordinates):
Cr (0.0000, 0.0000, 0.0000)  4 Br 3.23, 8 As 3.34
Ni (0.5000, 0.5000, 0.5000)  4 As 2.28, 2 Br 2.44
As (0.0000, 0.5000, 0.5000)  2 Ni 2.28
As (0.5000, 0.0000, 0.5000)  2 Ni 2.28
Br (0.5000, 0.5000, 0.0000)  2 Ni 2.44

Most stable one: entry A, least stable one: entry B.